This record from the Alexandria database describes a relaxed structure of Tc2SbAu. The functional is PBE.

Results
size of the total moment = 0.00 μB per formula unit
final energy = -6.6207 eV per atom

a = 3.037 Å, b = 4.169 Å, c = 5.683 Å
α = 90.00°, β = 103.89°, γ = 90.00°
Positions (direct):
Tc (0.111, 0.000, 0.230)
Tc (0.889, 0.000, 0.770)
Sb (0.500, 0.500, 0.500)
Au (0.500, 0.500, 0.000)